First-principles (PBEsol) data for a geometry-optimized Zr2Ni2Ag structure, as listed in the Alexandria database.

a b c (Å): 8.2345 8.2345 8.2345
angles (deg): 156.97 156.97 32.79
Fractional positions:
Zr  0.1216  0.1216  0.0000
Zr  0.8784  0.8784  0.0000
Ni  0.2500  0.7500  0.5000
Ni  0.7500  0.2500  0.5000
Ag  0.5000  0.5000  0.0000

Values from the calculation:
Fermi-level density of states, states/eV per atom: 0.93
Energy of formation from the pure elements, eV per atom: -0.061
ρ, Mg/m³: 7.9
Excess energy over the best structure of this formula in the dataset, meV per atom: 334.0